4
Lattice="-1.375 -0.382 -7.799 0.993 -2.372 -7.499 -1.914 -3.320 -6.940" Properties=species:S:1:pos:R:3 comment="PBE LiMgP2, relaxed" total_energy_ev_per_cell=-15.148 formation_enthalpy_0k_ev_per_atom=-0.21 n_ef_per_ev_atom=0.45 rho_g_cm3=2.4 pbc="T T T"
Li -0.574 -1.519 -5.560
Mg -1.721 -4.556 -16.679
P -2.294 -6.072 -22.230
P -1.149 -3.040 -11.128